1.
Material: Al2CdSF
Method: DFT, PBE
State: optimized geometry Values from VASP.

Cell and atoms, written as Quantum ESPRESSO input:
```
&SYSTEM
  ibrav = 0, nat = 5, ntyp = 4
/
ATOMIC_SPECIES
S 32.06 S.upf
F 19.00 F.upf
Al 26.98 Al.upf
Cd 112.41 Cd.upf
CELL_PARAMETERS angstrom
-3.1248 -2.5290 2.9196
4.1519 -2.3509 2.4073
0.1451 3.6758 3.3394
ATOMIC_POSITIONS crystal
S 0.0000 0.0000 0.0000
F 0.5000 0.5000 0.5000
Al 0.0000 0.0000 0.5000
Al 0.5000 0.0000 0.0000
Cd 0.0000 0.5000 0.0000
```

Calculated values
volume = 26.38 A^3/atom
total energy = -2.73 eV per atom
density of states at the Fermi level = 2.3 states/eV per cell
theoretical density = 2.737 g/cm³
total magnetization = 0.00 μB/f.u.

2.
Material: La2Ga8Rh
Method: DFT, PBE
State: optimized geometry Values from VASP.

Cell and atoms, written as Quantum ESPRESSO input:
```
&SYSTEM
  ibrav = 0, nat = 11, ntyp = 3
/
ATOMIC_SPECIES
Rh 102.91 Rh.upf
Ga 69.72 Ga.upf
La 138.91 La.upf
CELL_PARAMETERS angstrom
4.4374 0.0000 0.0000
0.0000 4.4374 0.0000
0.0000 0.0000 11.5778
ATOMIC_POSITIONS crystal
Rh 0.0000 0.0000 0.0000
Ga 0.0000 0.5000 0.5000
Ga 0.5000 0.0000 0.5000
Ga 0.5000 0.5000 0.3023
Ga 0.5000 0.5000 0.6977
Ga 0.0000 0.5000 0.1151
Ga 0.5000 0.0000 0.1151
Ga 0.0000 0.5000 0.8849
Ga 0.5000 0.0000 0.8849
La 0.0000 0.0000 0.3043
La 0.0000 0.0000 0.6957
```

Calculated values
volume = 20.73 A^3/atom
total energy = -4.31 eV per atom
density of states at the Fermi level = 6.1 states/eV per cell
theoretical density = 6.836 g/cm³
ΔH_f (0 K) = -542 meV per atom
total magnetization = 0.00 μB/f.u.

3.
Material: Mn3ZnN
Method: DFT, PBE
State: optimized geometry Values from VASP.

Cell and atoms, written as Quantum ESPRESSO input:
```
&SYSTEM
  ibrav = 0, nat = 5, ntyp = 3
/
ATOMIC_SPECIES
Zn 65.41 Zn.upf
Mn 54.94 Mn.upf
N 14.01 N.upf
CELL_PARAMETERS angstrom
-0.1183 3.6327 -1.0730
-1.6141 0.9228 3.3022
3.4267 0.5601 1.5185
ATOMIC_POSITIONS crystal
Zn 0.5000 0.5000 0.5000
Mn 0.0000 0.5000 0.0000
Mn 0.0000 0.0000 0.5000
Mn 0.5000 0.0000 0.0000
N 0.0000 0.0000 0.0000
```

Calculated values
volume = 10.89 A^3/atom
total energy = -7.61 eV per atom
density of states at the Fermi level = 4.4 states/eV per cell
theoretical density = 7.451 g/cm³
total magnetization = 4.21 μB/f.u.

4.
Material: Ac3NdPt8
Method: DFT, PBE
State: optimized geometry Values from VASP.

Cell and atoms, written as Quantum ESPRESSO input:
```
&SYSTEM
  ibrav = 0, nat = 12, ntyp = 3
/
ATOMIC_SPECIES
Ac 227.00 Ac.upf
Nd 144.24 Nd.upf
Pt 195.08 Pt.upf
CELL_PARAMETERS angstrom
5.3828 0.0000 1.6249
2.4461 4.7949 1.6249
-0.0083 -0.0051 9.7555
ATOMIC_POSITIONS crystal
Ac 0.3756 0.3756 0.8732
Ac 0.9982 0.9982 0.0054
Ac 0.5016 0.5016 0.4953
Nd 0.8741 0.8741 0.3776
Pt 0.9362 0.4368 0.1903
Pt 0.4393 0.9381 0.6844
Pt 0.4368 0.4368 0.1903
Pt 0.9381 0.9381 0.6844
Pt 0.1876 0.1876 0.4371
Pt 0.6875 0.6875 0.9374
Pt 0.4368 0.9362 0.1903
Pt 0.9381 0.4393 0.6844
```

Calculated values
volume = 20.99 A^3/atom
total energy = -6.48 eV per atom
density of states at the Fermi level = 2.7 states/eV per cell
theoretical density = 15.729 g/cm³
ΔH_f (0 K) = -1028 meV per atom
total magnetization = 0.00 μB/f.u.

5.
Material: RbRuCS2
Method: DFT, PBE
State: optimized geometry Values from VASP.

Cell and atoms, written as Quantum ESPRESSO input:
```
&SYSTEM
  ibrav = 0, nat = 5, ntyp = 4
/
ATOMIC_SPECIES
Ru 101.07 Ru.upf
S 32.06 S.upf
C 12.01 C.upf
Rb 85.47 Rb.upf
CELL_PARAMETERS angstrom
5.0289 0.0000 0.0000
0.0000 3.8830 0.0000
0.0000 0.0000 5.0289
ATOMIC_POSITIONS crystal
Ru 0.0000 0.0000 0.0000
S 0.0000 0.0000 0.5000
S 0.5000 0.0000 0.0000
C 0.0000 0.5000 0.0000
Rb 0.5000 0.5000 0.5000
```

Calculated values
volume = 19.64 A^3/atom
total energy = -5.10 eV per atom
density of states at the Fermi level = 5.3 states/eV per cell
theoretical density = 4.442 g/cm³
total magnetization = 1.08 μB/f.u.

6.
Material: LaZrMo4
Method: DFT, PBE
State: optimized geometry Values from VASP.

Cell and atoms, written as Quantum ESPRESSO input:
```
&SYSTEM
  ibrav = 0, nat = 6, ntyp = 3
/
ATOMIC_SPECIES
La 138.91 La.upf
Zr 91.22 Zr.upf
Mo 95.94 Mo.upf
CELL_PARAMETERS angstrom
0.0000 3.8921 3.8921
3.8921 0.0000 3.8921
3.8921 3.8921 0.0000
ATOMIC_POSITIONS crystal
La 0.0000 0.0000 0.0000
Zr 0.7500 0.7500 0.7500
Mo 0.8752 0.3749 0.3749
Mo 0.3749 0.3749 0.8752
Mo 0.3749 0.8752 0.3749
Mo 0.3749 0.3749 0.3749
```

Calculated values
volume = 19.65 A^3/atom
total energy = -9.30 eV per atom
density of states at the Fermi level = 5.0 states/eV per cell
theoretical density = 8.645 g/cm³
ΔH_f (0 K) = 163 meV per atom
total magnetization = 0.00 μB/f.u.